(1)
Crystalline Pr3Ge4Rh at its relaxed geometry, computed with PBE.

Cell: 4.551 5.963 14.873 Å, 90.00 90.00 90.00°
Space group Immm (No. 71)
One atom of each set of equivalent atoms:
Pr: 0.000 0.000 0.000 [2 per cell]
Pr: 0.000 0.500 0.191 [4 per cell]
Ge: 0.000 0.287 0.380 [8 per cell]
Rh: 0.000 0.000 0.500 [2 per cell]

Output
Calculated formation energy (eV/f.u.): -5.440
Final energy (eV/cell): -91.2

(2)
Crystalline BiPdRh at its relaxed geometry, computed with PBE.

Cell: 6.290 6.290 6.290 Å, 90.00 90.00 90.00°
Space group F-43m (No. 216)
One atom of each set of equivalent atoms:
Bi: 0.000 0.000 0.000 [4 per cell]
Pd: 0.250 0.250 0.750 [4 per cell]
Rh: 0.250 0.250 0.250 [4 per cell]

Output
Calculated formation energy (eV/f.u.): 0.055
Final energy (eV/cell): -65.5

(3)
Crystalline MgNi2HRh at its relaxed geometry, computed with PBE.

Cell: 3.638 3.638 4.079 Å, 90.00 90.00 90.00°
Space group P4/mmm (No. 123)
One atom of each set of equivalent atoms:
Mg: 0.000 0.000 0.000 [1 per cell]
Ni: 0.000 0.500 0.500 [2 per cell]
H: 0.000 0.000 0.500 [1 per cell]
Rh: 0.500 0.500 0.000 [1 per cell]

Output
Final energy (eV/cell): -24.4

(4)
Crystalline Dy3Zn2Ag3 at its relaxed geometry, computed with PBE.

Cell: 7.2787 7.2787 3.8847 Å, 90.00 90.00 120.00°
Space group P-62m (No. 189)
One atom of each set of equivalent atoms:
Dy: 0.0000 0.3855 0.0000 [3 per cell]
Zn: 0.3333 0.6667 0.5000 [2 per cell]
Ag: 0.0000 0.7595 0.5000 [3 per cell]

Output
Calculated formation energy (eV/f.u.): -2.121
Final energy (eV/cell): -27.0

(5)
Crystalline In2SbPdPt5 at its relaxed geometry, computed with PBE.

Cell: 8.022 8.022 10.696 Å, 90.00 90.00 90.00°
Space group I4/mcm (No. 140)
One atom of each set of equivalent atoms:
In: 0.117 0.383 0.000 [8 per cell]
Sb: 0.000 0.000 0.250 [4 per cell]
Pd: 0.000 0.500 0.250 [4 per cell]
Pt: 0.000 0.000 0.000 [4 per cell]
Pt: 0.197 0.303 0.366 [16 per cell]

Output
Final energy (eV/cell): -179.2
Raw formation energy (eV/atom): 0.02

(6)
Crystalline Np6PS5 at its relaxed geometry, computed with PBE.

Cell: 6.777 11.740 6.785 Å, 90.00 109.43 90.00°
Space group C2/m (No. 12)
One atom of each set of equivalent atoms:
Np: 0.249 0.000 0.250 [4 per cell]
Np: 0.249 0.167 0.749 [8 per cell]
P: 0.000 0.500 0.000 [2 per cell]
S: 0.000 0.000 0.500 [2 per cell]
S: 0.000 0.167 0.000 [4 per cell]
S: 0.000 0.334 0.500 [4 per cell]

Output
Final energy (eV/cell): -238.4
Raw formation energy (eV/atom): -1.29

(7)
Crystalline BeSiPt2 at its relaxed geometry, computed with PBE.

Cell: 7.802 2.895 4.881 Å, 90.00 101.82 90.00°
Space group C2/m (No. 12)
One atom of each set of equivalent atoms:
Be: 0.000 0.000 0.000 [2 per cell]
Si: 0.000 0.500 0.500 [2 per cell]
Pt: 0.245 0.500 0.246 [4 per cell]

Output
Final energy (eV/cell): -46.0
Raw formation energy (eV/atom): -0.45

(8)
Crystalline La2HoTm at its relaxed geometry, computed with PBE.

Cell: 3.719 3.719 9.770 Å, 90.00 90.00 90.00°
Space group P4/mmm (No. 123)
One atom of each set of equivalent atoms:
La: 0.000 0.000 0.248 [2 per cell]
Ho: 0.500 0.500 0.500 [1 per cell]
Tm: 0.500 0.500 0.000 [1 per cell]

Output
Calculated formation energy (eV/f.u.): 0.106
Final energy (eV/cell): -18.8